Material: NdTeNO
Method: DFT, PBE
State: optimized geometry

Geometry as POSCAR:
```
NdTeNO
1.0
5.153 0.000 0.000
0.000 5.153 0.000
0.000 0.000 4.956
Nd Te N O
2 2 2 2
Direct
0.250 0.750 0.000
0.750 0.250 0.000
0.250 0.250 0.486
0.750 0.750 0.514
0.250 0.250 0.896
0.750 0.750 0.104
0.250 0.750 0.500
0.750 0.250 0.500
```

Material: NdTeNO
Method: DFT, PBE
State: optimized geometry

Geometry as POSCAR:
```
NdTeNO
1.0
3.812 0.000 0.000
0.000 6.763 0.000
0.000 0.000 6.577
Nd Te N O
2 2 2 2
Direct
0.000 0.195 0.000
0.000 0.805 0.500
0.500 0.220 0.501
0.500 0.780 0.001
0.000 0.131 0.358
0.000 0.869 0.858
0.500 0.307 0.852
0.500 0.693 0.352
```

Material: NdTeNO
Method: DFT, PBE
State: optimized geometry

Geometry as POSCAR:
```
NdTeNO
1.0
4.166 0.000 0.000
0.000 6.173 0.000
0.000 0.000 6.640
Nd Te N O
2 2 2 2
Direct
0.000 0.204 0.000
0.000 0.796 0.500
0.500 0.335 0.407
0.500 0.665 0.907
0.500 0.392 0.072
0.500 0.608 0.572
0.000 0.083 0.693
0.000 0.917 0.193
```

Material: NdTeNO
Method: DFT, PBE
State: optimized geometry

Geometry as POSCAR:
```
NdTeNO
1.0
4.560 0.000 0.000
0.000 4.560 0.000
0.000 0.000 7.380
Nd Te N O
2 2 2 2
Direct
0.250 0.250 0.128
0.750 0.750 0.872
0.250 0.750 0.500
0.750 0.250 0.500
0.250 0.250 0.456
0.750 0.750 0.544
0.250 0.750 0.000
0.750 0.250 0.000
```

Material: NdTeNO
Method: DFT, PBE
State: optimized geometry

Geometry as POSCAR:
```
NdTeNO
1.0
6.438 0.000 0.000
0.000 6.959 0.000
0.000 0.000 6.166
Nd Te N O
4 4 4 4
Direct
0.091 0.244 0.000
0.409 0.244 0.500
0.591 0.756 0.000
0.909 0.756 0.500
0.065 0.727 0.980
0.435 0.727 0.480
0.565 0.273 0.980
0.935 0.273 0.480
0.109 0.454 0.659
0.391 0.454 0.159
0.609 0.546 0.659
0.891 0.546 0.159
0.088 0.052 0.650
0.412 0.052 0.150
0.588 0.948 0.650
0.912 0.948 0.150
```

Material: NdYNO
Method: DFT, PBE
State: optimized geometry

Geometry as POSCAR:
```
NdYNO
1.0
4.987 0.000 0.000
0.000 4.064 0.000
0.000 0.000 7.037
Nd Y N O
2 2 2 2
Direct
0.250 0.000 0.164
0.750 0.000 0.836
0.250 0.500 0.665
0.750 0.500 0.335
0.250 0.500 0.344
0.750 0.500 0.656
0.250 0.000 0.810
0.750 0.000 0.190
```

Material: NdYNO
Method: DFT, PBE
State: optimized geometry

Geometry as POSCAR:
```
NdYNO
1.0
4.058 0.000 0.000
0.000 7.017 0.000
0.000 0.000 5.051
Nd Y N O
2 2 2 2
Direct
0.000 0.164 0.000
0.000 0.836 0.500
0.500 0.330 0.501
0.500 0.670 0.001
0.000 0.177 0.501
0.000 0.823 0.001
0.500 0.346 0.998
0.500 0.654 0.498
```

Material: NdYNO
Method: DFT, PBE
State: optimized geometry

Geometry as POSCAR:
```
NdYNO
1.0
6.740 0.000 0.000
0.000 8.224 0.000
0.000 0.000 5.116
Nd Y N O
4 4 4 4
Direct
0.080 0.130 0.000
0.420 0.130 0.500
0.580 0.870 0.000
0.920 0.870 0.500
0.074 0.620 0.000
0.426 0.620 0.500
0.574 0.380 0.000
0.926 0.380 0.500
0.063 0.134 0.500
0.437 0.134 0.000
0.563 0.866 0.500
0.937 0.866 0.000
0.097 0.618 0.499
0.403 0.618 0.999
0.597 0.382 0.499
0.903 0.382 0.999
```

Number 1: energy relative to the lowest polymorph listed for this composition 0.606 eV/atom. Number 2: energy relative to the lowest polymorph listed for this composition 0.440 eV/atom. Number 3: energy relative to the lowest polymorph listed for this composition 0.389 eV/atom. Number 4: energy relative to the lowest polymorph listed for this composition 0.281 eV/atom. Number 5: energy relative to the lowest polymorph listed for this composition 0.362 eV/atom. Number 6: energy relative to the lowest polymorph listed for this composition 0.025 eV/atom. Number 7: energy relative to the lowest polymorph listed for this composition 0.067 eV/atom. Number 8: energy relative to the lowest polymorph listed for this composition 0.097 eV/atom.